# 1
Compound: PmCdH4Rh2
Source: Alexandria
Functional: PBE
Structure: relaxed

Properties
E_tot in eV per cell: -36.8
DOS(E_F) in states/eV/cell: 4.1
M_tot in Bohr magnetons per cell: 0.00

Lattice parameters (Å, degrees): 3.4313 3.4313 7.6911 90.00 90.00 90.00
Fractional positions:
Pm 0.0000 0.0000 0.0000
Cd 0.0000 0.0000 0.5000
H 0.0000 0.5000 0.2169
H 0.5000 0.0000 0.7831
H 0.5000 0.0000 0.2169
H 0.0000 0.5000 0.7831
Rh 0.5000 0.5000 0.2802
Rh 0.5000 0.5000 0.7198

# 2
Compound: Pr3Cd5H12
Source: Alexandria
Functional: PBE
Structure: relaxed

Properties
E_tot in eV per cell: -239.8
DOS(E_F) in states/eV/cell: 25.6
M_tot in Bohr magnetons per cell: 0.00

Lattice parameters (Å, degrees): 11.3295 11.3295 11.3295 109.47 109.47 109.47
Fractional positions:
Pr 0.7500 0.3750 0.1250
Pr 0.8750 0.7500 0.1250
Pr 0.3750 0.7500 0.6250
Pr 0.2500 0.1250 0.3750
Pr 0.8750 0.1250 0.2500
Pr 0.3750 0.6250 0.2500
Pr 0.6250 0.3750 0.7500
Pr 0.1250 0.8750 0.7500
Pr 0.7500 0.8750 0.6250
Pr 0.6250 0.2500 0.3750
Pr 0.1250 0.2500 0.8750
Pr 0.2500 0.6250 0.8750
Cd 0.1250 0.3750 0.2500
Cd 0.0000 0.5000 0.0000
Cd 0.0000 0.0000 0.0000
Cd 0.3750 0.2500 0.1250
Cd 0.5000 0.0000 0.5000
Cd 0.5000 0.5000 0.0000
Cd 0.1250 0.7500 0.3750
Cd 0.7500 0.1250 0.8750
Cd 0.7500 0.6250 0.3750
Cd 0.3750 0.1250 0.7500
Cd 0.6250 0.8750 0.2500
Cd 0.5000 0.5000 0.5000
Cd 0.5000 0.0000 0.0000
Cd 0.0000 0.0000 0.5000
Cd 0.2500 0.3750 0.6250
Cd 0.2500 0.8750 0.1250
Cd 0.0000 0.5000 0.5000
Cd 0.8750 0.2500 0.6250
Cd 0.6250 0.7500 0.8750
Cd 0.8750 0.6250 0.7500
H 0.7463 0.1492 0.0512
H 0.3049 0.5512 0.4020
H 0.9488 0.3508 0.2537
H 0.5512 0.2463 0.1492
H 0.5971 0.7463 0.6951
H 0.9488 0.5980 0.1951
H 0.3049 0.7537 0.4029
H 0.0980 0.9029 0.1492
H 0.5980 0.9488 0.6951
H 0.7463 0.5971 0.1951
H 0.7537 0.4488 0.3508
H 0.8049 0.9020 0.0512
H 0.1492 0.7463 0.5512
H 0.3508 0.4020 0.0971
H 0.0971 0.9020 0.3508
H 0.4029 0.1492 0.5980
H 0.0971 0.1951 0.2463
H 0.4488 0.6951 0.0980
H 0.8049 0.9029 0.2537
H 0.1492 0.4029 0.0980
H 0.3508 0.9488 0.7537
H 0.5980 0.6492 0.4029
H 0.9020 0.8049 0.5512
H 0.7537 0.3049 0.9029
H 0.4020 0.3508 0.5971
H 0.0980 0.1951 0.4488
H 0.2463 0.6951 0.0971
H 0.1951 0.0971 0.7463
H 0.6492 0.0512 0.2463
H 0.8508 0.5971 0.9020
H 0.5512 0.3049 0.9020
H 0.5971 0.8508 0.4020
H 0.9029 0.8049 0.7537
H 0.9029 0.0980 0.6492
H 0.8508 0.2537 0.4488
H 0.1951 0.0980 0.9488
H 0.6492 0.5980 0.9029
H 0.4020 0.0512 0.3049
H 0.2537 0.4029 0.8049
H 0.2463 0.5512 0.6492
H 0.9020 0.0971 0.8508
H 0.6951 0.2463 0.5971
H 0.4488 0.7537 0.8508
H 0.0512 0.4020 0.8049
H 0.4029 0.2537 0.3049
H 0.0512 0.6492 0.7463
H 0.6951 0.4488 0.5980
H 0.2537 0.8508 0.9488

# 3
Compound: Pr2CdH
Source: Alexandria
Functional: PBE
Structure: relaxed

Properties
E_tot in eV per cell: -14.7
DOS(E_F) in states/eV/cell: 3.3
M_tot in Bohr magnetons per cell: 0.00

Lattice parameters (Å, degrees): 3.7463 3.7463 8.3786 77.08 77.08 60.00
Fractional positions:
Pr 0.0600 0.0600 0.8200
Pr 0.2744 0.2744 0.1767
Cd 0.4996 0.4996 0.5012
H 0.6660 0.6660 0.0020

# 4
Compound: Pr2CdH
Source: Alexandria
Functional: PBE
Structure: relaxed

Properties
E_tot in eV per cell: -14.8
DOS(E_F) in states/eV/cell: 3.5
M_tot in Bohr magnetons per cell: 0.00

Lattice parameters (Å, degrees): 3.7361 3.7361 8.4250 77.19 77.19 60.00
Fractional positions:
Pr 0.2734 0.2734 0.1798
Pr 0.7266 0.7266 0.8202
H 0.0000 0.0000 0.0000
Cd 0.5000 0.5000 0.5000

# 5
Compound: Pr4Cd2H
Source: Alexandria
Functional: PBE
Structure: relaxed

Properties
E_tot in eV per cell: -25.6
DOS(E_F) in states/eV/cell: 6.5
M_tot in Bohr magnetons per cell: 0.00

Lattice parameters (Å, degrees): 4.9453 4.9453 8.8622 73.80 73.80 90.00
Fractional positions:
Pr 0.8208 0.8208 0.3584
Pr 0.1792 0.1792 0.6416
Pr 0.0000 0.5000 0.0000
Pr 0.5000 0.0000 0.0000
H 0.0000 0.0000 0.0000
Cd 0.6314 0.6314 0.7372
Cd 0.3686 0.3686 0.2628

# 6
Compound: Pr2CdH
Source: Alexandria
Functional: PBE
Structure: relaxed

Properties
E_tot in eV per cell: -14.0
DOS(E_F) in states/eV/cell: 3.9
M_tot in Bohr magnetons per cell: 0.00

Lattice parameters (Å, degrees): 3.4039 3.4039 7.9754 90.00 90.00 90.00
Fractional positions:
Pr 0.0000 0.0000 0.7895
Pr 0.0000 0.0000 0.2105
H 0.5000 0.5000 0.0000
Cd 0.5000 0.5000 0.5000